[1]
A plane-wave DFT calculation with PBE-GGA was carried out for crystalline NaHfSb at its relaxed geometry.

Geometry as CIF:
```
data_NaHfSb
_chemical_formula_sum 'Na2 Hf2 Sb2'
_cell_length_a 8.9726
_cell_length_b 8.9726
_cell_length_c 8.9726
_cell_angle_alpha 30.12
_cell_angle_beta 30.12
_cell_angle_gamma 30.12
_symmetry_space_group_name_H-M 'P 1'
_symmetry_Int_Tables_number 1
loop_
_symmetry_equiv_pos_as_xyz
'x,y,z'
loop_
_atom_site_label
_atom_site_type_symbol
_atom_site_fract_x
_atom_site_fract_y
_atom_site_fract_z
_atom_site_occupancy
Na1 Na 0.1365 0.1365 0.1365 1
Na2 Na 0.8635 0.8635 0.8635 1
Hf1 Hf 0.2984 0.2984 0.2984 1
Hf2 Hf 0.7016 0.7016 0.7016 1
Sb1 Sb 0.4132 0.4132 0.4132 1
Sb2 Sb 0.5868 0.5868 0.5868 1
```

[2]
A plane-wave DFT calculation with PBE-GGA was carried out for crystalline NaHf3Sb at its relaxed geometry.

## Properties
The energy above the most stable polymorph in this dataset comes out at 0 meV/atom.

Geometry as CIF:
```
data_NaHf3Sb
_chemical_formula_sum 'Na1 Hf3 Sb1'
_cell_length_a 5.3376
_cell_length_b 5.3376
_cell_length_c 5.3376
_cell_angle_alpha 90.00
_cell_angle_beta 90.00
_cell_angle_gamma 90.00
_symmetry_space_group_name_H-M 'P 1'
_symmetry_Int_Tables_number 1
loop_
_symmetry_equiv_pos_as_xyz
'x,y,z'
loop_
_atom_site_label
_atom_site_type_symbol
_atom_site_fract_x
_atom_site_fract_y
_atom_site_fract_z
_atom_site_occupancy
Na1 Na 0.0000 0.0000 0.0000 1
Hf1 Hf 0.0000 0.5000 0.5000 1
Hf2 Hf 0.5000 0.0000 0.5000 1
Hf3 Hf 0.5000 0.5000 0.0000 1
Sb1 Sb 0.5000 0.5000 0.5000 1
```

[3]
A plane-wave DFT calculation with PBE-GGA was carried out for crystalline NaHfSb2 at its relaxed geometry.

## Properties
The energy above the most stable polymorph in this dataset comes out at 2 meV/atom.

Geometry as CIF:
```
data_NaHfSb2
_chemical_formula_sum 'Na1 Hf1 Sb2'
_cell_length_a 8.7293
_cell_length_b 8.7293
_cell_length_c 8.7293
_cell_angle_alpha 25.91
_cell_angle_beta 25.91
_cell_angle_gamma 25.91
_symmetry_space_group_name_H-M 'P 1'
_symmetry_Int_Tables_number 1
loop_
_symmetry_equiv_pos_as_xyz
'x,y,z'
loop_
_atom_site_label
_atom_site_type_symbol
_atom_site_fract_x
_atom_site_fract_y
_atom_site_fract_z
_atom_site_occupancy
Na1 Na 0.0000 0.0000 0.0000 1
Hf1 Hf 0.8333 0.8333 0.8333 1
Sb1 Sb 0.2400 0.2400 0.2400 1
Sb2 Sb 0.4268 0.4268 0.4268 1
```

[4]
A plane-wave DFT calculation with PBE-GGA was carried out for crystalline NaHfSb2 at its relaxed geometry.

## Properties
The energy above the most stable polymorph in this dataset comes out at 0 meV/atom.

Geometry as CIF:
```
data_NaHfSb2
_chemical_formula_sum 'Na1 Hf1 Sb2'
_cell_length_a 8.7267
_cell_length_b 8.7267
_cell_length_c 8.7267
_cell_angle_alpha 25.81
_cell_angle_beta 25.81
_cell_angle_gamma 25.81
_symmetry_space_group_name_H-M 'P 1'
_symmetry_Int_Tables_number 1
loop_
_symmetry_equiv_pos_as_xyz
'x,y,z'
loop_
_atom_site_label
_atom_site_type_symbol
_atom_site_fract_x
_atom_site_fract_y
_atom_site_fract_z
_atom_site_occupancy
Na1 Na 0.0000 0.0000 0.0000 1
Hf1 Hf 0.5000 0.5000 0.5000 1
Sb1 Sb 0.2405 0.2405 0.2405 1
Sb2 Sb 0.7595 0.7595 0.7595 1
```

[5]
A plane-wave DFT calculation with PBE-GGA was carried out for crystalline NaHf2Sb2 at its relaxed geometry.

## Properties
The energy above the most stable polymorph in this dataset comes out at 348 meV/atom.

Geometry as CIF:
```
data_NaHf2Sb2
_chemical_formula_sum 'Na1 Hf2 Sb2'
_cell_length_a 6.1573
_cell_length_b 6.1573
_cell_length_c 6.1573
_cell_angle_alpha 126.69
_cell_angle_beta 126.69
_cell_angle_gamma 78.75
_symmetry_space_group_name_H-M 'P 1'
_symmetry_Int_Tables_number 1
loop_
_symmetry_equiv_pos_as_xyz
'x,y,z'
loop_
_atom_site_label
_atom_site_type_symbol
_atom_site_fract_x
_atom_site_fract_y
_atom_site_fract_z
_atom_site_occupancy
Na1 Na 0.0000 0.0000 0.0000 1
Hf1 Hf 0.3371 0.3371 0.0000 1
Hf2 Hf 0.6629 0.6629 0.0000 1
Sb1 Sb 0.2500 0.7500 0.5000 1
Sb2 Sb 0.7500 0.2500 0.5000 1
```

[6]
A plane-wave DFT calculation with PBE-GGA was carried out for crystalline Na3HfSb2Se6 at its relaxed geometry.

Geometry as CIF:
```
data_Na3HfSb2Se6
_chemical_formula_sum 'Na3 Hf1 Sb2 Se6'
_cell_length_a 7.2958
_cell_length_b 7.2958
_cell_length_c 7.2384
_cell_angle_alpha 99.55
_cell_angle_beta 99.55
_cell_angle_gamma 120.93
_symmetry_space_group_name_H-M 'P 1'
_symmetry_Int_Tables_number 1
loop_
_symmetry_equiv_pos_as_xyz
'x,y,z'
loop_
_atom_site_label
_atom_site_type_symbol
_atom_site_fract_x
_atom_site_fract_y
_atom_site_fract_z
_atom_site_occupancy
Na1 Na 0.0000 0.0000 0.0000 1
Na2 Na 0.3244 0.6756 0.0000 1
Na3 Na 0.6756 0.3244 0.0000 1
Hf1 Hf 0.5000 0.5000 0.5000 1
Sb1 Sb 0.1644 0.8356 0.5000 1
Sb2 Sb 0.8356 0.1644 0.5000 1
Se1 Se 0.1148 0.4239 0.2781 1
Se2 Se 0.2636 0.2636 0.7224 1
Se3 Se 0.4239 0.1148 0.2781 1
Se4 Se 0.5761 0.8852 0.7219 1
Se5 Se 0.7364 0.7364 0.2776 1
Se6 Se 0.8852 0.5761 0.7219 1
```

no.,E_form (uncorrected) (eV/f.u.),uncorrected energy (eV per atom),magnetic moment (μB per formula unit)
1,-0.36,-5.25,0.97
2,4.88,-6.09,0.00
3,-1.44,-5.24,0.00
4,-1.44,-5.24,0.00
5,0.31,-5.83,0.00
6,-9.85,-4.41,0.00